Below is a relaxed PrH3Pt crystal, with properties calculated at the GGA-PBE level.

Cell lengths 4.591, 4.201, 6.523 Å; angles 90.00, 91.64, 90.00 degrees
Space group P2/m (No. 10)
Inequivalent atoms, fractional coordinates:
Pr1 0.000 0.000 0.000 (multiplicity 1)
Pr2 0.500 0.500 0.500 (multiplicity 1)
H1 0.215 0.500 0.155 (multiplicity 2)
H2 0.269 0.000 0.330 (multiplicity 2)
H3 0.274 0.000 0.679 (multiplicity 2)
Pt1 0.000 0.000 0.500 (multiplicity 1)
Pt2 0.500 0.500 0.000 (multiplicity 1)

## Properties
calculated total energy	-4.7414	eV per atom
crystal system	monoclinic

---

Below is a relaxed PrH12Pt4 crystal, with properties calculated at the GGA-PBE level.

Cell lengths 7.090, 7.090, 7.090 Å; angles 90.00, 90.00, 90.00 degrees
Space group Im-3 (No. 204)
Inequivalent atoms, fractional coordinates:
Pr1 0.000 0.000 0.000 (multiplicity 2)
H1 0.000 0.256 0.259 (multiplicity 24)
Pt1 0.250 0.250 0.250 (multiplicity 8)

## Properties
calculated total energy	-4.2956	eV per atom
crystal system	cubic

---

Number 1: magnetic moment 0.002 μB/f.u.. Number 2: magnetic moment 0.001 μB/f.u..